DFT (meta-GGA SCAN) results for a crystal of TePWS2 relaxed with PBEsol.

Calculated values
Crystal system   tetragonal
E_form (uncorrected)   1.810 eV per atom
Calculated volume   23.2 A^3/atom
Total magnetic moment   3.0 μB per cell
Fermi-level density of states   3.85 states/eV per cell

Lattice parameters (Å, degrees): 4.8088 4.8088 5.0221 90.00 90.00 90.00
With the nearest neighbours (Å) after each atom.
Space group P4/mmm (No. 123)
One atom of each set of equivalent atoms:
Te: 0.0000 0.0000 0.0000 x1  4 S 2.40, 2 P 2.51
P: 0.0000 0.0000 0.5000 x1  2 Te 2.51
W: 0.5000 0.5000 0.5000 x1  4 P 3.40, 8 S 3.48
S: 0.0000 0.5000 0.0000 x2  2 Te 2.40

***

DFT (meta-GGA SCAN) results for a crystal of Ti2P2S relaxed with PBEsol.

Calculated values
Crystal system   tetragonal
E_form (uncorrected)   -1.002 eV per atom
Calculated volume   14.5 A^3/atom
Total magnetic moment   0.0 μB per cell
Fermi-level density of states   4.18 states/eV per cell

Lattice parameters (Å, degrees): 6.5881 6.5881 3.3384 90.00 90.00 90.00
With the nearest neighbours (Å) after each atom.
Space group P4/mbm (No. 127)
One atom of each set of equivalent atoms:
Ti: 0.1635 0.3365 0.0000 x4  2 S 2.46, 6 P 2.55-2.57
P: 0.1269 0.6269 0.5000 x4  1 P 2.36, 6 Ti 2.55-2.57
S: 0.0000 0.0000 0.0000 x2  4 Ti 2.46

***

DFT (meta-GGA SCAN) results for a crystal of TiPWS2 relaxed with PBEsol.

Calculated values
Crystal system   tetragonal
E_form (uncorrected)   0.261 eV per atom
Calculated volume   19.8 A^3/atom
Total magnetic moment   1.8 μB per cell
Fermi-level density of states   2.80 states/eV per cell

Lattice parameters (Å, degrees): 4.5638 4.5638 4.7436 90.00 90.00 90.00
With the nearest neighbours (Å) after each atom.
Space group P4/mmm (No. 123)
One atom of each set of equivalent atoms:
Ti: 0.0000 0.0000 0.0000 x1  4 P 3.23, 8 S 3.29
P: 0.5000 0.5000 0.0000 x1  2 W 2.37
W: 0.5000 0.5000 0.5000 x1  4 S 2.28, 2 P 2.37
S: 0.0000 0.5000 0.5000 x2  2 W 2.28

***

DFT (meta-GGA SCAN) results for a crystal of Tl3PS4 relaxed with PBEsol.

Calculated values
Crystal system   orthorhombic
E_form (uncorrected)   -0.495 eV per atom
Calculated volume   25.5 A^3/atom
Total magnetic moment   0.0 μB per cell
Fermi-level density of states   0.00 states/eV per cell

Lattice parameters (Å, degrees): 8.6804 10.5473 8.9013 90.00 90.00 90.00
With the nearest neighbours (Å) after each atom.
Space group Pnma (No. 62)
One atom of each set of equivalent atoms:
Tl: 0.0593 0.0472 0.1968 x8  5 S 3.02-3.18
Tl: 0.1138 0.7500 0.3888 x4  4 S 3.00-3.21
P: 0.2209 0.7500 0.9713 x4  4 S 2.05-2.07
S: 0.0031 0.7500 0.0608 x4  1 P 2.05
S: 0.1609 0.0909 0.5343 x8  1 P 2.05
S: 0.1984 0.7500 0.7396 x4  1 P 2.07

***

DFT (meta-GGA SCAN) results for a crystal of TlZnP2S relaxed with PBEsol.

Calculated values
Crystal system   tetragonal
E_form (uncorrected)   1.399 eV per atom
Calculated volume   26.0 A^3/atom
Total magnetic moment   2.8 μB per cell
Fermi-level density of states   3.65 states/eV per cell

Lattice parameters (Å, degrees): 5.0829 5.0829 5.0242 90.00 90.00 90.00
With the nearest neighbours (Å) after each atom.
Space group P4/mmm (No. 123)
One atom of each set of equivalent atoms:
Tl: 0.0000 0.0000 0.0000 x1  2 S 2.51, 4 P 2.54
Zn: 0.5000 0.5000 0.5000 x1  8 P 3.57, 4 S 3.59
P: 0.0000 0.5000 0.0000 x2  2 Tl 2.54
S: 0.0000 0.0000 0.5000 x1  2 Tl 2.51

***

DFT (meta-GGA SCAN) results for a crystal of UPS relaxed with PBEsol.

Calculated values
Crystal system   tetragonal
E_form (uncorrected)   -1.136 eV per atom
Calculated volume   17.8 A^3/atom
Total magnetic moment   4.3 μB per cell
Fermi-level density of states   9.34 states/eV per cell

Lattice parameters (Å, degrees): 3.7069 3.7069 7.7506 90.00 90.00 90.00
With the nearest neighbours (Å) after each atom.
Space group P4/nmm (No. 129, origin choice 2)
One atom of each set of equivalent atoms:
U: 0.2500 0.2500 0.2188 x2  5 S 2.69-2.78, 4 P 2.86
P: 0.2500 0.7500 0.5000 x2  4 P 2.62, 4 U 2.86
S: 0.2500 0.2500 0.8603 x2  5 U 2.69-2.78

***

DFT (meta-GGA SCAN) results for a crystal of U3P4S16 relaxed with PBEsol.

Calculated values
Crystal system   tetragonal
E_form (uncorrected)   -0.751 eV per atom
Calculated volume   22.6 A^3/atom
Total magnetic moment   24.0 μB per cell
Fermi-level density of states   53.08 states/eV per cell

Lattice parameters (Å, degrees): 10.5968 10.5968 18.5298 90.00 90.00 90.00
With the nearest neighbours (Å) after each atom.
Space group I-4c2 (No. 120)
One atom of each set of equivalent atoms:
U: 0.0000 0.0000 0.0000 x4  8 S 2.79-2.90
U: 0.0000 0.0000 0.2500 x4  8 S 2.75-2.86
U: 0.0000 0.5000 0.0000 x4  8 S 2.71-2.91
P: 0.0367 0.2489 0.3737 x16  4 S 2.01-2.07
S: 0.0633 0.2457 0.7812 x16  1 P 2.01
S: 0.0775 0.2439 0.9638 x16  1 P 2.06
S: 0.0823 0.1385 0.1263 x16  1 P 2.07
S: 0.0953 0.3557 0.6077 x16  1 P 2.04

***

DFT (meta-GGA SCAN) results for a crystal of UP4S12 relaxed with PBEsol.

Calculated values
Crystal system   tetragonal
E_form (uncorrected)   -0.492 eV per atom
Calculated volume   23.8 A^3/atom
Total magnetic moment   8.0 μB per cell
Fermi-level density of states   26.81 states/eV per cell

Lattice parameters (Å, degrees): 12.9014 12.9014 9.7034 90.00 90.00 90.00
With the nearest neighbours (Å) after each atom.
Space group I4_1/a (No. 88, origin choice 2)
One atom of each set of equivalent atoms:
U: 0.0000 0.2500 0.1250 x4  8 S 2.77-2.83
P: 0.0056 0.4332 0.3801 x16  4 S 2.00-2.13
S: 0.0650 0.0837 0.5771 x16  2 P 2.13
S: 0.0797 0.1317 0.9036 x16  1 P 2.00
S: 0.0933 0.0707 0.2212 x16  1 P 2.00

***

DFT (meta-GGA SCAN) results for a crystal of V3P4S12 relaxed with PBEsol.

Calculated values
Crystal system   monoclinic
E_form (uncorrected)   -0.643 eV per atom
Calculated volume   19.3 A^3/atom
Total magnetic moment   2.2 μB per cell
Fermi-level density of states   10.05 states/eV per cell

Lattice parameters (Å, degrees): 5.7909 10.0869 12.7213 90.00 98.88 90.00
With the nearest neighbours (Å) after each atom.
Space group C2 (No. 5)
One atom of each set of equivalent atoms:
V: 0.0000 0.0000 0.0000 x2  6 S 2.33-2.45
V: 0.0000 0.1610 0.5000 x2  6 S 2.44-2.46
V: 0.0000 0.4972 0.5000 x2  6 S 2.45-2.46
P: 0.0289 0.8291 0.5865 x4  3 S 2.06, 1 P 2.18
P: 0.0306 0.3241 0.0859 x4  3 S 2.02-2.05, 1 P 2.16
S: 0.1057 0.1470 0.8746 x4  1 P 2.05
S: 0.1123 0.3291 0.3778 x4  1 P 2.06
S: 0.1193 0.8378 0.8751 x4  1 P 2.02
S: 0.1311 0.0016 0.3770 x4  1 P 2.06
S: 0.1306 0.6566 0.3767 x4  1 P 2.06
S: 0.1526 0.4843 0.8749 x4  1 P 2.04

***

DFT (meta-GGA SCAN) results for a crystal of P2WS2 relaxed with PBEsol.

Calculated values
Crystal system   tetragonal
E_form (uncorrected)   1.433 eV per atom
Calculated volume   15.5 A^3/atom
Total magnetic moment   1.6 μB per cell
Fermi-level density of states   2.23 states/eV per cell

Lattice parameters (Å, degrees): 4.2333 4.2333 4.3289 90.00 90.00 90.00
With the nearest neighbours (Å) after each atom.
Space group P4/mmm (No. 123)
One atom of each set of equivalent atoms:
P: 0.0000 0.5000 0.0000 x2  2 S 2.12
W: 0.0000 0.0000 0.5000 x1  4 S 2.99, 8 P 3.03
S: 0.5000 0.5000 0.0000 x1  4 P 2.12, 2 S 2.16
S: 0.5000 0.5000 0.5000 x1  2 S 2.16

***

DFT (meta-GGA SCAN) results for a crystal of P2WS2 relaxed with PBEsol.

Calculated values
Crystal system   tetragonal
E_form (uncorrected)   0.684 eV per atom
Calculated volume   19.7 A^3/atom
Total magnetic moment   0.0 μB per cell
Fermi-level density of states   3.25 states/eV per cell

Lattice parameters (Å, degrees): 4.7146 4.7146 4.4319 90.00 90.00 90.00
With the nearest neighbours (Å) after each atom.
Space group P4/mmm (No. 123)
One atom of each set of equivalent atoms:
P: 0.0000 0.5000 0.0000 x2  2 W 2.36
W: 0.0000 0.0000 0.0000 x1  2 S 2.22, 4 P 2.36
S: 0.0000 0.0000 0.5000 x1  2 W 2.22
S: 0.5000 0.5000 0.5000 x1  8 P 3.24, 4 S 3.33

***

DFT (meta-GGA SCAN) results for a crystal of YP2WS relaxed with PBEsol.

Calculated values
Crystal system   tetragonal
E_form (uncorrected)   1.377 eV per atom
Calculated volume   25.2 A^3/atom
Total magnetic moment   2.6 μB per cell
Fermi-level density of states   4.21 states/eV per cell

Lattice parameters (Å, degrees): 5.0439 5.0439 4.9551 90.00 90.00 90.00
With the nearest neighbours (Å) after each atom.
Space group P4/mmm (No. 123)
One atom of each set of equivalent atoms:
Y: 0.0000 0.0000 0.0000 x1  2 S 2.48, 4 P 2.52
P: 0.0000 0.5000 0.0000 x2  2 Y 2.52
W: 0.5000 0.5000 0.5000 x1  8 P 3.54, 4 S 3.57
S: 0.0000 0.0000 0.5000 x1  2 Y 2.48

***

DFT (meta-GGA SCAN) results for a crystal of YPS relaxed with PBEsol.

Calculated values
Crystal system   orthorhombic
E_form (uncorrected)   -1.730 eV per atom
Calculated volume   18.9 A^3/atom
Total magnetic moment   0.0 μB per cell
Fermi-level density of states   0.24 states/eV per cell

Lattice parameters (Å, degrees): 6.8907 3.6161 9.0855 90.00 90.00 90.00
With the nearest neighbours (Å) after each atom.
Space group Pnma (No. 62)
One atom of each set of equivalent atoms:
Y: 0.2067 0.2500 0.1598 x4  5 S 2.75-2.96, 4 P 2.85-2.91
P: 0.0911 0.2500 0.4615 x4  2 P 2.31
S: 0.0938 0.2500 0.8459 x4  5 Y 2.75-2.96, 2 P 3.01

***

DFT (meta-GGA SCAN) results for a crystal of YPS4 relaxed with PBEsol.

Calculated values
Crystal system   tetragonal
E_form (uncorrected)   -1.234 eV per atom
Calculated volume   21.9 A^3/atom
Total magnetic moment   0.0 μB per cell
Fermi-level density of states   0.00 states/eV per cell

Lattice parameters (Å, degrees): 10.5826 10.5826 18.8130 90.00 90.00 90.00
With the nearest neighbours (Å) after each atom.
Space group I4_1/acd (No. 142, origin choice 2)
One atom of each set of equivalent atoms:
Y: 0.0000 0.2500 0.1250 x8  8 S 2.85-2.88
Y: 0.0000 0.2500 0.3750 x8  8 S 2.78-2.96
P: 0.0387 0.0000 0.2500 x16  4 S 2.04
S: 0.0673 0.0034 0.8403 x32  1 P 2.04
S: 0.0855 0.1105 0.0029 x32  1 P 2.04

***

DFT (meta-GGA SCAN) results for a crystal of Zn2P3S9 relaxed with PBEsol.

Calculated values
Crystal system   monoclinic
E_form (uncorrected)   -0.454 eV per atom
Calculated volume   22.5 A^3/atom
Total magnetic moment   0.0 μB per cell
Fermi-level density of states   0.00 states/eV per cell

Lattice parameters (Å, degrees): 18.2035 10.5459 6.6009 90.00 95.48 90.00
With the nearest neighbours (Å) after each atom.
Space group C2/m (No. 12)
One atom of each set of equivalent atoms:
Zn: 0.1252 0.1727 0.1722 x8  4 S 2.31-2.39
P: 0.0245 0.0000 0.8513 x4  3 S 2.01-2.07, 1 P 2.23
P: 0.1258 0.5000 0.2040 x4  4 S 2.00-2.13
P: 0.2208 0.5000 0.8788 x4  4 S 2.00-2.14
S: 0.0723 0.0000 0.3416 x4  1 P 2.07
S: 0.0805 0.1634 0.8307 x8  1 P 2.01
S: 0.0843 0.3493 0.3374 x8  1 P 2.00
S: 0.1049 0.5000 0.8809 x4  2 P 2.11-2.13
S: 0.2423 0.5000 0.2028 x4  2 P 2.12-2.14
S: 0.2485 0.3366 0.7508 x8  1 P 2.00

***

DFT (meta-GGA SCAN) results for a crystal of ZnPS3 relaxed with PBEsol.

Calculated values
Crystal system   monoclinic
E_form (uncorrected)   -0.510 eV per atom
Calculated volume   19.8 A^3/atom
Total magnetic moment   0.0 μB per cell
Fermi-level density of states   0.00 states/eV per cell

Lattice parameters (Å, degrees): 5.9048 10.2313 6.8462 90.00 106.50 90.00
With the nearest neighbours (Å) after each atom.
Space group C2/m (No. 12)
One atom of each set of equivalent atoms:
Zn: 0.0000 0.1670 0.0000 x4  6 S 2.53-2.54
P: 0.0559 0.5000 0.1673 x4  3 S 2.03, 1 P 2.20
S: 0.2471 0.0000 0.2435 x4  1 P 2.03
S: 0.2477 0.3332 0.2433 x8  1 P 2.03

***

DFT (meta-GGA SCAN) results for a crystal of ZrZnP2S relaxed with PBEsol.

Calculated values
Crystal system   tetragonal
E_form (uncorrected)   0.370 eV per atom
Calculated volume   18.3 A^3/atom
Total magnetic moment   0.0 μB per cell
Fermi-level density of states   3.04 states/eV per cell

Lattice parameters (Å, degrees): 4.4813 4.4813 4.5448 90.00 90.00 90.00
With the nearest neighbours (Å) after each atom.
Space group P4/mmm (No. 123)
One atom of each set of equivalent atoms:
Zr: 0.0000 0.0000 0.0000 x1  4 S 3.17, 8 P 3.19
Zn: 0.5000 0.5000 0.5000 x1  4 P 2.24, 2 S 2.27
P: 0.0000 0.5000 0.5000 x2  2 Zn 2.24
S: 0.5000 0.5000 0.0000 x1  2 Zn 2.27